PBE+U CsTmCr2O8, optimized geometry; D(E_F) = 0.000 states/eV/atom; SG = No. 147; total DFT energy (no corrections) = -83.211 eV for the cell shown
1.0
-1.883 -2.482 4.869
5.023 -1.656 -2.333
4.029 5.834 4.532
O Cs Tm Cr
8 1 1 2
direct
0.169 0.350 0.660 O
0.667 0.333 0.082 O
0.819 0.169 0.340 O
0.181 0.831 0.660 O
0.650 0.819 0.660 O
0.350 0.181 0.340 O
0.831 0.650 0.340 O
0.333 0.667 0.918 O
0.000 0.000 0.000 Cs
0.000 0.000 0.500 Tm
0.667 0.333 0.275 Cr
0.333 0.667 0.725 Cr